PBE-GGA YCuSeS, relaxed; uncorrected energy = -5.750 eV per atom; formation energy (no corrections) = -1.21 eV per atom; D(E_F) = 0.0 states/eV/f.u.; space group = R-3m, No. 166
1.0
4.006 0.000 0.000
2.003 3.470 0.000
2.003 1.157 13.398
Y Cu Se S
2 2 2 2
Cartesian
4.006 2.313 3.354
4.006 2.313 10.043
6.009 3.470 7.566
2.003 1.157 5.831
6.009 3.470 11.518
2.003 1.157 1.880
2.003 1.157 8.240
6.009 3.470 5.157